[1]
Below is a geometry-optimized Sr2NF structure, with properties calculated at the PBE level.

abc: 7.1857 7.1857 7.1857
angles: 133.60 133.60 67.72
With the nearest neighbours (Å) after each atom.
Atoms (fractional coordinates):
Sr: 0.1082 0.6250 0.9832  2 N 2.44, 2 F 2.55
Sr: 0.3750 0.3582 0.4832  2 N 2.44, 2 F 2.55
Sr: 0.6418 0.1250 0.0168  2 N 2.44, 2 F 2.55
Sr: 0.8750 0.8918 0.5168  2 N 2.44, 2 F 2.55
N: 0.0000 0.0000 0.0000  4 Sr 2.44
N: 0.7500 0.2500 0.5000  4 Sr 2.44
F: 0.2500 0.7500 0.5000  4 Sr 2.55
F: 0.5000 0.5000 0.0000  4 Sr 2.55

Magnetic moment   0.000 μB per formula unit

=====

[2]
Below is a geometry-optimized SrNF structure, with properties calculated at the PBE level.

abc: 3.9711 3.9711 6.7307
angles: 90.70 90.70 70.57
With the nearest neighbours (Å) after each atom.
Atoms (fractional coordinates):
Sr: 0.1800 0.1800 0.2532  4 F 2.53-2.60, 4 N 2.63-2.71
Sr: 0.8200 0.8200 0.7468  4 F 2.53-2.60, 4 N 2.63-2.71
N: 0.3615 0.6385 0.5000  1 N 1.27
N: 0.6385 0.3615 0.5000  1 N 1.27
F: 0.1922 0.1922 0.8779  4 Sr 2.53-2.60
F: 0.8078 0.8078 0.1221  4 Sr 2.53-2.60

Magnetic moment   0.686 μB per formula unit

=====

What final energy values result from the calculations? In sequence: -5.1191, -6.0878 eV per atom.
What energy relative to the elements, uncorrected values result from the calculations? In sequence: -1729, -2128 meV per atom.
What density of states at the Fermi level values result from the calculations? In sequence: 0.00, 1.19 states/eV/f.u..